# 1
SiP2Ru: optimized geometry, GGA-PBE.

As for the total energy: -6.42 eV per atom. As for the crystal system: monoclinic.

The space group is Cm (No. 8) and the conventional cell measures 5.712, 7.412 and 2.940 Å, with angles of 90.00, 105.06 and 90.00 degrees. The asymmetric unit holds Si at (0.000, 0.000, 0.000), P at (0.192, 0.305, 0.711) and Ru at (0.337, 0.000, 0.669).

***

# 2
Ca2ReSe: optimized geometry, GGA-PBE.

As for the total energy: -4.93 eV per atom. As for the crystal system: trigonal.

The space group is R-3m (No. 166, hexagonal axes) and the conventional cell measures 3.5965, 3.5965 and 25.4666 Å, with angles of 90.00, 90.00 and 120.00 degrees. The asymmetric unit holds Ca at (0.0000, 0.0000, 0.2424), Re at (0.0000, 0.0000, 0.0000) and Se at (0.0000, 0.0000, 0.5000).

***

# 3
TiBe2InPt: optimized geometry, GGA-PBE.

As for the total energy: -3.81 eV per atom. For the energy of formation, the calculation gives 1.02 eV/atom. As for the crystal system: tetragonal.

The space group is P4/mmm (No. 123) and the conventional cell measures 4.345, 4.345 and 4.985 Å, with angles of 90.00, 90.00 and 90.00 degrees. The asymmetric unit holds Ti at (0.000, 0.000, 0.000), Be at (0.000, 0.500, 0.500), In at (0.500, 0.500, 0.500) and Pt at (0.500, 0.500, 0.000).

***

# 4
CaPIr2Se: optimized geometry, GGA-PBE.

As for the total energy: -5.02 eV per atom. As for the crystal system: tetragonal.

The space group is P4/mmm (No. 123) and the conventional cell measures 4.586, 4.586 and 5.359 Å, with angles of 90.00, 90.00 and 90.00 degrees. The asymmetric unit holds Ca at (0.000, 0.000, 0.000), P at (0.500, 0.500, 0.000), Ir at (0.000, 0.500, 0.500) and Se at (0.000, 0.000, 0.500).

***

# 5
KSrF2: optimized geometry, GGA-PBE.

As for the total energy: -4.32 eV per atom. The energy above the most stable polymorph in this dataset is 0.116 eV per atom. As for the crystal system: tetragonal.

The space group is I-42d (No. 122) and the conventional cell measures 6.196, 6.196 and 12.186 Å, with angles of 90.00, 90.00 and 90.00 degrees. The asymmetric unit holds K at (0.000, 0.000, 0.000), Sr at (0.000, 0.000, 0.500) and F at (0.167, 0.250, 0.625).

***

# 6
Er3ThPt2: optimized geometry, GGA-PBE.

As for the total energy: -6.45 eV per atom. For the energy of formation, the calculation gives -0.92 eV/atom. As for the crystal system: orthorhombic.

The space group is Pmc2_1 (No. 26) and the conventional cell measures 4.770, 8.931 and 7.093 Å, with angles of 90.00, 90.00 and 90.00 degrees. The asymmetric unit holds Er at (0.000, 0.080, 0.000), Er at (0.000, 0.321, 0.370), Er at (0.500, 0.159, 0.655), Th at (0.500, 0.418, 0.016), Pt at (0.000, 0.342, 0.771) and Pt at (0.500, 0.156, 0.249).

***

# 7
Sr3Sn4Bi: optimized geometry, GGA-PBE.

As for the total energy: -3.73 eV per atom. For the energy of formation, the calculation gives -0.61 eV/atom. As for the crystal system: tetragonal.

The space group is I4/mcm (No. 140) and the conventional cell measures 9.025, 9.025 and 12.862 Å, with angles of 90.00, 90.00 and 90.00 degrees. The asymmetric unit holds Sr at (0.000, 0.000, 0.250), Sr at (0.162, 0.338, 0.000), Sn at (0.144, 0.356, 0.310) and Bi at (0.000, 0.000, 0.000).